Here is an optimized crystal structure of CrAg3ClO4 from Alexandria via LeMat-Bulk. Energies are from PBE+U.

Lattice parameters (Å, degrees): 7.4835 7.4835 5.3466 90.00 90.00 90.00
Closest atoms and distances in Å follow each position.
Space group P4/nmm (No. 129, origin choice 2)
One atom of each set of equivalent atoms:
Cr 0.2500 0.7500 0.0000  4 O 1.68
Ag 0.0000 0.0000 0.5000  4 O 2.56, 2 Cl 2.74
Ag 0.2500 0.2500 0.1110  4 O 2.42, 1 Cl 2.56
Cl 0.2500 0.2500 0.6329  6 Ag 2.56-2.79
O 0.0690 0.7500 0.8128  1 Cr 1.68

## Properties
As for the total moment: 0.00 μB/cell. The value obtained for the total energy is -43.7 eV/f.u.